A relaxed ScTl2Fe crystal. Source: Alexandria via LeMat-Bulk, functional PBE-GGA.

Calculated values
DOS at the Fermi energy = 3.13 states/eV/cell
volume = 85.1 Å³/cell
magnetization = 2.5 μB/f.u.
energy above the most stable polymorph in this dataset = 50 meV/atom

POSCAR file:
```
ScTl2Fe
1.0
-2.1272 2.1272 4.6991
2.1272 -2.1272 4.6991
2.1272 2.1272 -4.6991
Sc Tl Fe
1 2 1
Direct
0.0000 0.0000 0.0000
0.2500 0.7500 0.5000
0.5000 0.5000 0.0000
0.7500 0.2500 0.5000
```